Entry 1:
Computed, not measured: Ho3Fe after structural relaxation at the PBE-GGA level of DFT.

Values from the calculation:
mass density	9.11	Mg/m³
crystal system	tetragonal
SG	I4/mmm (139)
E_tot	-5.190	eV/atom
energy of formation	30.87	kJ/mol of atoms

a = 5.7655 Å, b = 5.7655 Å, c = 5.7655 Å
α = 133.10°, β = 133.10°, γ = 68.50°
Closest atoms and distances in Å follow each position.
Atoms (fractional coordinates):
Fe: 0.0000 0.0000 0.0000  12 Ho 3.24-3.31
Ho: 0.5000 0.5000 0.0000  4 Fe 3.24, 8 Ho 3.31
Ho: 0.7500 0.2500 0.5000  8 Ho 3.24-3.31, 4 Fe 3.31
Ho: 0.2500 0.7500 0.5000  8 Ho 3.24-3.31, 4 Fe 3.31



Entry 2:
Computed, not measured: BaAlPt after structural relaxation at the PBE-GGA level of DFT.

Values from the calculation:
mass density	6.83	Mg/m³
crystal system	cubic
SG	F-43m (216)
E_tot	-4.192	eV/atom

a = 4.9810 Å, b = 4.9810 Å, c = 4.9810 Å
α = 60.00°, β = 60.00°, γ = 60.00°
Closest atoms and distances in Å follow each position.
Atoms (fractional coordinates):
Al: 0.2500 0.2500 0.2500  4 Pt 3.05
Ba: 0.7500 0.7500 0.7500  4 Pt 3.05
Pt: 0.0000 0.0000 0.0000  4 Ba 3.05, 4 Al 3.05



- mass density of number 2 (BaAlPt)?
  6.83 Mg/m³